Li3MnCoO5 | PBE+U | optimized geometry

Output
E: -59.0 eV/f.u.
Polymorph energy (0 for the lowest one): 58.2 meV per atom
D(E_F): 0.107 states/eV/f.u.

Cell lengths 2.8644, 5.8331, 10.6829 Å; angles 97.67, 97.53, 90.03 degrees
Last column: nearest neighbours and their distance in Å.
Space group P-1 (No. 2)
Inequivalent atoms, fractional coordinates:
Li 0.0000 0.0000 0.0000  6 O 2.05-2.13
Li 0.0000 0.5000 0.0000  6 O 2.05-2.09
Li 0.1941 0.1033 0.3961  6 O 2.04-2.25
Li 0.4152 0.7110 0.8218  5 O 2.04-2.17
Mn 0.4078 0.2016 0.8112  5 O 1.81-1.97
Co 0.1922 0.5956 0.3973  6 O 1.93-2.11
O 0.0967 0.5707 0.1989  2 Mn 1.97, 1 Co 2.09, 3 Li 2.09-2.17
O 0.0988 0.0239 0.2022  2 Mn 1.94, 4 Li 2.04-2.15
O 0.3075 0.6264 0.5984  3 Co 1.93-2.11, 2 Li 2.12-2.13
O 0.3080 0.1796 0.6103  2 Co 1.94-1.96, 1 Mn 2.11, 1 Li 2.18
O 0.4922 0.2451 0.9836  1 Mn 1.81